(1)
Compound: HoSc2Te4
Source: Alexandria
Functional: GGA-PBE
Structure: optimized geometry

```
HoSc2Te4
1.0
2.066 -6.851 0.000
2.066 6.851 0.000
0.000 0.000 14.459
Ho Sc Te
2 4 8
Direct
0.127 0.873 0.750
0.873 0.127 0.250
0.371 0.629 0.566
0.371 0.629 0.934
0.629 0.371 0.066
0.629 0.371 0.434
0.000 0.000 0.000
0.000 0.000 0.500
0.275 0.725 0.118
0.275 0.725 0.382
0.461 0.539 0.750
0.539 0.461 0.250
0.725 0.275 0.618
0.725 0.275 0.882
```

## Properties
**Energy relative to the lowest polymorph listed for this composition**: 0.045 eV per atom
**SG**: Cmcm (63)
**Spin magnetization**: 0.0 μB per cell
**Fermi-level density of states**: 3.4 states/eV/f.u.
**Formation energy (no corrections)**: -28.4 kcal/mol of atoms
**Theoretical density**: 6.2 g/cm³
**Calculated volume**: 409.4 Å³ per cell

=====

(2)
Compound: HoSc5Te4
Source: Alexandria
Functional: GGA-PBE
Structure: optimized geometry

```
HoSc5Te4
1.0
8.646 0.000 0.000
0.000 9.376 0.000
0.000 0.000 7.058
Ho Sc Te
2 10 8
Direct
0.250 0.250 0.147
0.750 0.750 0.853
0.064 0.050 0.765
0.064 0.450 0.765
0.250 0.750 0.798
0.436 0.050 0.765
0.436 0.450 0.765
0.564 0.550 0.235
0.564 0.950 0.235
0.750 0.250 0.202
0.936 0.550 0.235
0.936 0.950 0.235
0.004 0.250 0.454
0.250 0.554 0.093
0.250 0.946 0.093
0.496 0.250 0.454
0.504 0.750 0.546
0.750 0.054 0.907
0.750 0.446 0.907
0.996 0.750 0.546
```

## Properties
**SG**: Pmmn (59)
**Spin magnetization**: 0.2 μB per cell
**Fermi-level density of states**: 9.4 states/eV/f.u.
**Formation energy (no corrections)**: -16.0 kcal/mol of atoms
**Theoretical density**: 5.2 g/cm³
**Calculated volume**: 572.2 Å³ per cell